Below is a relaxed LaTb2Nd6Th crystal, with properties calculated at the PBE-GGA level.

Cell: 9.381 15.303 9.803 Å, 90.00 97.26 90.00°
Space group C2/c (No. 15)
Symmetry-distinct sites (fractional):
La 0.000 0.027 0.250 (multiplicity 4)
Tb 0.246 0.050 0.548 (multiplicity 8)
Nd 0.066 0.183 0.941 (multiplicity 8)
Nd 0.096 0.394 0.118 (multiplicity 8)
Nd 0.209 0.223 0.313 (multiplicity 8)
Th 0.000 0.407 0.750 (multiplicity 4)

ρ, g cm⁻³: 7.40
Formation energy, eV per formula unit: 1.4


Below is a relaxed Eu2CdGa crystal, with properties calculated at the PBE-GGA level.

Cell: 7.687 7.687 7.687 Å, 90.00 90.00 90.00°
Space group Fm-3m (No. 225)
Symmetry-distinct sites (fractional):
Eu 0.250 0.250 0.250 (multiplicity 8)
Cd 0.000 0.000 0.000 (multiplicity 4)
Ga 0.000 0.000 0.500 (multiplicity 4)

ρ, g cm⁻³: 7.11
Formation energy, eV per formula unit: -1.6


Below is a relaxed RbLa3Sn crystal, with properties calculated at the PBE-GGA level.

Cell: 5.615 5.615 5.615 Å, 90.00 90.00 90.00°
Space group Pm-3m (No. 221)
Symmetry-distinct sites (fractional):
Rb 0.000 0.000 0.000 (multiplicity 1)
La 0.000 0.000 0.500 (multiplicity 3)
Sn 0.500 0.500 0.500 (multiplicity 1)

ρ, g cm⁻³: 5.82
Formation energy, eV per formula unit: 4.3
Energy above the most stable polymorph in this dataset, eV per atom: 0.676


Below is a relaxed LiSm5Ag4 crystal, with properties calculated at the PBE-GGA level.

Cell: 3.708 3.708 18.753 Å, 90.00 90.00 90.00°
Space group P4/mmm (No. 123)
Symmetry-distinct sites (fractional):
Li 0.000 0.000 0.000 (multiplicity 1)
Sm 0.500 0.500 0.104 (multiplicity 2)
Sm 0.500 0.500 0.301 (multiplicity 2)
Sm 0.500 0.500 0.500 (multiplicity 1)
Ag 0.000 0.000 0.199 (multiplicity 2)
Ag 0.000 0.000 0.401 (multiplicity 2)

ρ, g cm⁻³: 7.67
Formation energy, eV per formula unit: -2.0


Below is a relaxed La8CePm5 crystal, with properties calculated at the PBE-GGA level.

Cell: 9.767 9.767 10.457 Å, 90.00 90.00 90.00°
Space group I-4 (No. 82)
Symmetry-distinct sites (fractional):
La 0.068 0.204 0.249 (multiplicity 8)
La 0.069 0.330 0.902 (multiplicity 8)
Ce 0.000 0.500 0.250 (multiplicity 2)
Pm 0.000 0.000 0.000 (multiplicity 2)
Pm 0.104 0.203 0.576 (multiplicity 8)

ρ, g cm⁻³: 6.58
Formation energy, eV per formula unit: 2.9


Below is a relaxed ZnCd2Ru crystal, with properties calculated at the PBE-GGA level.

Cell: 3.955 3.955 8.831 Å, 90.00 90.00 90.00°
Space group I4/mmm (No. 139)
Symmetry-distinct sites (fractional):
Zn 0.000 0.000 0.000 (multiplicity 2)
Cd 0.000 0.500 0.250 (multiplicity 4)
Ru 0.000 0.000 0.500 (multiplicity 2)

ρ, g cm⁻³: 9.41
Formation energy, eV per formula unit: 0.7


Below is a relaxed GdHg2Bi crystal, with properties calculated at the PBE-GGA level.

Cell: 4.051 4.051 6.599 Å, 90.00 90.00 90.00°
Space group P4/mmm (No. 123)
Symmetry-distinct sites (fractional):
Gd 0.000 0.000 0.000 (multiplicity 1)
Hg 0.500 0.500 0.250 (multiplicity 2)
Bi 0.000 0.000 0.500 (multiplicity 1)

ρ, g cm⁻³: 11.77
Formation energy, eV per formula unit: -1.1
Energy above the most stable polymorph in this dataset, eV per atom: 0.162


Below is a relaxed TlAuBr5 crystal, with properties calculated at the PBE-GGA level.

Cell: 12.136 9.512 10.638 Å, 90.00 110.39 90.00°
Space group C2/c (No. 15)
Symmetry-distinct sites (fractional):
Tl 0.000 0.172 0.250 (multiplicity 4)
Au 0.000 0.500 0.000 (multiplicity 4)
Br 0.000 0.477 0.250 (multiplicity 4)
Br 0.054 0.249 0.009 (multiplicity 8)
Br 0.200 0.058 0.373 (multiplicity 8)

ρ, g cm⁻³: 4.62
Energy above the most stable polymorph in this dataset, eV per atom: 0.000